(1)
## SiAu2 (GGA-PBE)

Data for SiAu2 after structural relaxation.

Summary:
Magnetic moment   0.000 μB per atom
Energy   -3.9560 eV per atom
Symmetry   Cmcm (63)
Formation energy (no corrections)   0.11 eV/f.u.

Lattice parameters (Å, degrees): 4.8611 4.8611 5.0907 90.00 90.00 85.91
Positions (direct):
1 Si 0.1387 0.8613 0.7500
2 Si 0.8613 0.1387 0.2500
3 Au 0.0098 0.3841 0.7500
4 Au 0.3841 0.0098 0.2500
5 Au 0.6159 0.9902 0.7500
6 Au 0.9902 0.6159 0.2500

(2)
## SiAu3 (GGA-PBE)

Data for SiAu3 after structural relaxation.

Summary:
Magnetic moment   0.000 μB per atom
Energy   -3.6378 eV per atom
Symmetry   R-3m (166)
Formation energy (no corrections)   0.70 eV/f.u.

Lattice parameters (Å, degrees): 4.6890 4.6890 4.6890 110.02 110.02 110.02
Positions (direct):
1 Si 0.0000 0.0000 0.0000
2 Au 0.0000 0.5000 0.5000
3 Au 0.5000 0.0000 0.5000
4 Au 0.5000 0.5000 0.0000

(3)
## Si3Au (GGA-PBE)

Data for Si3Au after structural relaxation.

Summary:
Magnetic moment   0.000 μB per atom
Energy   -4.4239 eV per atom
Symmetry   P-6m2 (187)
Relative energy among the computed polymorphs   0.2033 eV/atom
Formation energy (no corrections)   1.85 eV/f.u.

Lattice parameters (Å, degrees): 2.8300 2.8300 9.1610 90.00 90.00 120.00
Positions (direct):
1 Si 0.0000 0.0000 0.0000
2 Si 0.6667 0.3333 0.2317
3 Si 0.6667 0.3333 0.7683
4 Au 0.0000 0.0000 0.5000

Q: Which value of energy does entry 1 give?
A: -3.9560 eV per atom